## NiSbI2O (GGA+U)

Data for a relaxed NiSbI2O crystal. Values from VASP.

Quantum ESPRESSO input file:
```
&SYSTEM
  ibrav = 0, nat = 5, ntyp = 4
/
ATOMIC_SPECIES
Ni 58.69 Ni.upf
Sb 121.76 Sb.upf
I 126.90 I.upf
O 16.00 O.upf
CELL_PARAMETERS angstrom
5.1283 0.0000 0.0000
0.0000 5.1283 0.0000
0.0000 0.0000 4.9271
ATOMIC_POSITIONS angstrom
Ni 0.0000 0.0000 0.0000
Sb 0.0000 0.0000 2.4635
I 0.0000 2.5641 0.0000
I 2.5641 0.0000 0.0000
O 2.5641 2.5641 2.4635
```

Computed properties:
Volume in A^3/atom: 25.916
Offset from the most stable computed form in eV/atom: 0.866
Crystal system: tetragonal
Final energy in eV/atom: -1.9984
SG: P4/mmm